{
  "formula": "Cd2ClO",
  "functional": "PBE-GGA",
  "state": "relaxed",
  "lattice_angstrom": [[1.900, 1.097, 7.212], [-1.900, 1.097, 7.212], [0.000, -2.194, 7.212]],
  "species": ["Cd", "Cd", "Cl", "O"],
  "fractional_positions": [[0.000, 0.000, 0.000], [0.458, 0.458, 0.458], [0.586, 0.586, 0.586], [0.104, 0.104, 0.104]],
  "spacegroup": "R3m (160)",
  "e_form_raw_kj_per_mol_fu": -282
}


{
  "formula": "K3Tl2Sb2",
  "functional": "PBE-GGA",
  "state": "relaxed",
  "lattice_angstrom": [[-2.369, 2.690, 11.057], [2.369, -2.690, 11.057], [2.369, 2.690, -11.057]],
  "species": ["K", "K", "K", "Tl", "Tl", "Sb", "Sb"],
  "fractional_positions": [[0.000, 0.000, 0.000], [0.189, 0.689, 0.500], [0.811, 0.311, 0.500], [0.433, 0.433, 0.000], [0.567, 0.567, 0.000], [0.355, 0.855, 0.500], [0.645, 0.145, 0.500]],
  "spacegroup": "Immm (71)",
  "e_form_raw_kj_per_mol_fu": -181
}


{
  "formula": "RbZnTcCl2",
  "functional": "PBE-GGA",
  "state": "relaxed",
  "lattice_angstrom": [[5.525, 0.000, 0.000], [0.000, 5.525, 0.000], [0.000, 0.000, 5.034]],
  "species": ["Rb", "Zn", "Tc", "Cl", "Cl"],
  "fractional_positions": [[0.000, 0.000, 0.000], [0.500, 0.500, 0.500], [0.500, 0.500, 0.000], [0.000, 0.500, 0.500], [0.500, 0.000, 0.500]],
  "spacegroup": "P4/mmm (123)",
  "e_form_raw_kj_per_mol_fu": 59
}